No. 1
Below is a relaxed ReTe2Cl crystal, with properties calculated at the GGA-PBE level.

ΔE to the lowest computed polymorph, eV/f.u.: 2.70

POSCAR file:
```
ReTe2Cl
1.0
-5.1672 -1.2789 10.5228
-3.4053 1.1188 11.2346
-6.1434 1.5622 9.9439
Re Te Cl
1 2 1
Direct
0.0000 0.0000 0.0000
0.9237 0.9237 0.9237
0.0763 0.0763 0.0763
0.5000 0.5000 0.5000
```

---

No. 2
Below is a relaxed Th2ReCl2 crystal, with properties calculated at the GGA-PBE level.

Total energy, eV/atom: -7.2661

POSCAR file:
```
Th2ReCl2
1.0
-2.7301 2.9772 -0.9414
-4.2982 -4.6099 -2.1135
-0.8028 0.0202 11.5288
Th Re Cl
4 2 4
Direct
0.8101 0.6818 0.6201
0.1899 0.3182 0.3799
0.6551 0.7970 0.3102
0.3449 0.2030 0.6898
0.7595 0.1906 0.5189
0.2405 0.8094 0.4811
0.9215 0.0847 0.8429
0.0785 0.9153 0.1571
0.5932 0.3651 0.1863
0.4068 0.6349 0.8137
```

---

No. 3
Below is a relaxed Th3ReCl3 crystal, with properties calculated at the GGA-PBE level.

Total energy, eV/atom: -6.8613

POSCAR file:
```
Th3ReCl3
1.0
3.9797 -0.0010 -0.0004
-0.0023 9.0443 -0.0036
0.0002 0.6123 11.7842
Th Re Cl
6 2 6
Direct
0.2503 0.3190 0.6435
0.7497 0.6810 0.3565
0.2499 0.8955 0.6147
0.7501 0.1045 0.3853
0.2499 0.9312 0.1217
0.7501 0.0688 0.8783
0.2499 0.8904 0.3578
0.7501 0.1096 0.6422
0.2498 0.3978 0.3907
0.7502 0.6022 0.6093
0.2496 0.8183 0.8736
0.7504 0.1817 0.1264
0.2505 0.3186 0.8840
0.7495 0.6814 0.1160
```

---

No. 4
Below is a relaxed TiReCl3 crystal, with properties calculated at the GGA-PBE level.

ΔE to the lowest computed polymorph, eV/f.u.: 0.00

POSCAR file:
```
TiReCl3
1.0
-2.2347 -2.1382 3.8001
-2.7912 -2.5790 -3.0926
3.3499 -3.5754 -0.0418
Re Cl Ti
1 3 1
Direct
0.5000 0.5000 0.5000
0.0000 0.5000 0.0000
0.0000 0.0000 0.5000
0.5000 0.0000 0.0000
0.0000 0.0000 0.0000
```

---

No. 5
Below is a relaxed TiReCl3 crystal, with properties calculated at the GGA-PBE level.

ΔE to the lowest computed polymorph, eV/f.u.: 2.08

POSCAR file:
```
TiReCl3
1.0
4.7974 0.0000 0.0000
0.0000 4.7974 0.0000
0.0000 0.0000 4.7974
Re Cl Ti
1 3 1
Direct
0.0000 0.0000 0.0000
0.0000 0.5000 0.0000
0.0000 0.0000 0.5000
0.5000 0.0000 0.0000
0.5000 0.5000 0.5000
```

---

No. 6
Below is a relaxed TiRe3Cl crystal, with properties calculated at the GGA-PBE level.

ΔE to the lowest computed polymorph, eV/f.u.: 0.00

POSCAR file:
```
TiRe3Cl
1.0
4.3482 0.0000 0.0000
0.0000 4.3482 0.0000
0.0000 0.0000 4.3482
Re Cl Ti
3 1 1
Direct
0.0000 0.5000 0.0000
0.0000 0.0000 0.5000
0.5000 0.0000 0.0000
0.0000 0.0000 0.0000
0.5000 0.5000 0.5000
```

---

No. 7
Below is a relaxed TiRe3Cl crystal, with properties calculated at the GGA-PBE level.

ΔE to the lowest computed polymorph, eV/f.u.: 5.34

POSCAR file:
```
TiRe3Cl
1.0
-4.5248 1.1563 0.0974
-0.8436 -3.5471 2.9201
0.7967 2.8110 3.6447
Re Cl Ti
3 1 1
Direct
0.0000 0.5000 0.0000
0.0000 0.0000 0.5000
0.5000 0.0000 0.0000
0.5000 0.5000 0.5000
0.0000 0.0000 0.0000
```

---

No. 8
Below is a relaxed TlReCl3 crystal, with properties calculated at the GGA-PBE level.

ΔE to the lowest computed polymorph, eV/f.u.: 5.23

POSCAR file:
```
TlReCl3
1.0
5.4846 0.0000 0.0000
0.0000 5.4846 0.0000
0.0000 0.0000 5.4846
Re Tl Cl
1 1 3
Direct
0.5000 0.5000 0.5000
0.0000 0.0000 0.0000
0.0000 0.5000 0.0000
0.0000 0.0000 0.5000
0.5000 0.0000 0.0000
```

---

For reference, D(E_F) by record: 4.861 2.716 4.014 5.121 12.674 5.690 11.561 1.048 states/eV/f.u..